Material: SrY2VGe
Method: DFT, PBE
State: relaxed

Unit cell a=5.627 b=5.627 c=4.921 alpha=90.00 beta=90.00 gamma=90.00
Space group P4/mmm (No. 123)
One atom of each set of equivalent atoms:
Sr1 0.000 0.000 0.000 x1
Y1 0.000 0.500 0.500 x2
V1 0.500 0.500 0.000 x1
Ge1 0.500 0.500 0.500 x1

Results
**Calculated density**: 4.15 g/cm³
**D(E_F)**: 4.36 states/eV/f.u.
**Crystal system**: tetragonal
**E**: -5.508 eV per atom

---

Material: Sr2GeW
Method: DFT, PBE
State: relaxed

Unit cell a=8.726 b=8.726 c=5.602 alpha=90.00 beta=90.00 gamma=90.00
Space group I-42d (No. 122)
One atom of each set of equivalent atoms:
Sr1 0.223 0.750 0.125 x8
Ge1 0.000 0.000 0.000 x4
W1 0.000 0.000 0.500 x4

Results
**Calculated density**: 6.72 g/cm³
**D(E_F)**: 3.48 states/eV/f.u.
**Crystal system**: tetragonal
**E**: -4.189 eV per atom

---

Material: SrGe2W
Method: DFT, PBE
State: relaxed

Unit cell a=5.391 b=5.391 c=16.182 alpha=90.00 beta=90.00 gamma=90.00
Space group I4_1/amd (No. 141, origin choice 2)
One atom of each set of equivalent atoms:
Sr1 0.000 0.250 0.375 x4
Ge1 0.000 0.000 0.000 x8
W1 0.000 0.250 0.875 x4

Results
**Calculated density**: 5.89 g/cm³
**Energy above the lowest structure with this stoichiometry**: 0.000 eV/atom
**D(E_F)**: 1.96 states/eV/f.u.
**Crystal system**: tetragonal